Record 1
# NiS PBE optimized geometry
data_NiS
_chemical_formula_sum 'Ni8 S8'
_symmetry_space_group_name_H-M 'P 21 21 21'
_symmetry_Int_Tables_number 19
_cell_length_a 6.315
_cell_length_b 6.600
_cell_length_c 6.703
_cell_angle_alpha 90.00
_cell_angle_beta 90.00
_cell_angle_gamma 90.00
loop_
_symmetry_equiv_pos_as_xyz
'x,y,z'
'-x+1/2,-y,z+1/2'
'x+1/2,-y+1/2,-z'
'-x,y+1/2,-z+1/2'
loop_
_atom_site_label
_atom_site_type_symbol
_atom_site_fract_x
_atom_site_fract_y
_atom_site_fract_z
_atom_site_occupancy
Ni1 Ni 0.082 0.200 0.367 1
Ni2 Ni 0.116 0.548 0.811 1
S1 S 0.079 0.868 0.887 1
S2 S 0.101 0.423 0.128 1
# uncorrected energy	-5.232	eV/atom
# crystal system	orthorhombic
# formation energy without anion corrections	-0.556	eV per formula unit

Record 2
# Tm2CdHg6 PBE optimized geometry
data_Tm2CdHg6
_chemical_formula_sum 'Tm4 Cd2 Hg12'
_symmetry_space_group_name_H-M 'C 1 2/m 1'
_symmetry_Int_Tables_number 12
_cell_length_a 8.741
_cell_length_b 5.186
_cell_length_c 9.360
_cell_angle_alpha 90.00
_cell_angle_beta 93.54
_cell_angle_gamma 90.00
loop_
_symmetry_equiv_pos_as_xyz
'x,y,z'
'-x,-y,-z'
'-x,y,-z'
'x,-y,z'
'x+1/2,y+1/2,z'
'-x+1/2,-y+1/2,-z'
'-x+1/2,y+1/2,-z'
'x+1/2,-y+1/2,z'
loop_
_atom_site_label
_atom_site_type_symbol
_atom_site_fract_x
_atom_site_fract_y
_atom_site_fract_z
_atom_site_occupancy
Tm1 Tm 0.161 0.000 0.271 1
Cd1 Cd 0.000 0.500 0.500 1
Hg1 Hg 0.006 0.500 0.833 1
Hg2 Hg 0.168 0.000 0.602 1
Hg3 Hg 0.169 0.000 0.933 1
# uncorrected energy	-1.543	eV/atom
# ΔE to the lowest computed polymorph	0	kJ/mol of formula units
# crystal system	monoclinic
# formation enthalpy at 0 K	-246	meV/atom

Record 3
# MnCd2Br PBE optimized geometry
data_MnCd2Br
_chemical_formula_sum 'Mn1 Cd2 Br1'
_symmetry_space_group_name_H-M 'P 1 m 1'
_symmetry_Int_Tables_number 6
_cell_length_a 3.477
_cell_length_b 3.418
_cell_length_c 8.214
_cell_angle_alpha 90.00
_cell_angle_beta 90.42
_cell_angle_gamma 90.00
loop_
_symmetry_equiv_pos_as_xyz
'x,y,z'
'x,-y,z'
loop_
_atom_site_label
_atom_site_type_symbol
_atom_site_fract_x
_atom_site_fract_y
_atom_site_fract_z
_atom_site_occupancy
Mn1 Mn 0.000 0.000 0.000 1
Cd1 Cd 0.007 0.000 0.423 1
Cd2 Cd 0.503 0.500 0.197 1
Br1 Br 0.993 0.500 0.768 1
# uncorrected energy	-3.145	eV/atom
# ΔE to the lowest computed polymorph	4	kJ/mol of formula units
# crystal system	monoclinic
# formation energy without anion corrections	0.091	eV per formula unit

Record 4
# RuAuSe2 PBE optimized geometry
data_RuAuSe2
_chemical_formula_sum 'Ru2 Au2 Se4'
_symmetry_space_group_name_H-M 'C m m m'
_symmetry_Int_Tables_number 65
_symmetry_space_group_name_Hall '-C 2 2'
_cell_length_a 2.925
_cell_length_b 4.986
_cell_length_c 10.899
_cell_angle_alpha 90.00
_cell_angle_beta 90.00
_cell_angle_gamma 90.00
loop_
_atom_site_label
_atom_site_type_symbol
_atom_site_fract_x
_atom_site_fract_y
_atom_site_fract_z
_atom_site_occupancy
Ru1 Ru 0.000 0.000 0.000 1
Au1 Au 0.000 0.000 0.500 1
Se1 Se 0.000 0.500 0.190 1
# uncorrected energy	-4.575	eV/atom
# crystal system	orthorhombic
# formation energy without anion corrections	1.223	eV per formula unit

Record 5
# RbUSe2 PBE optimized geometry
data_RbUSe2
_chemical_formula_sum 'Rb1 U1 Se2'
_symmetry_space_group_name_H-M 'P -3 m 1'
_symmetry_Int_Tables_number 164
_symmetry_space_group_name_Hall '-P 3 2"'
_cell_length_a 4.1970
_cell_length_b 4.1970
_cell_length_c 8.3319
_cell_angle_alpha 90.00
_cell_angle_beta 90.00
_cell_angle_gamma 120.00
loop_
_atom_site_label
_atom_site_type_symbol
_atom_site_fract_x
_atom_site_fract_y
_atom_site_fract_z
_atom_site_occupancy
Rb1 Rb 0.0000 0.0000 0.0000 1
U1 U 0.0000 0.0000 0.5000 1
Se1 Se 0.3333 0.6667 0.3017 1
# uncorrected energy	-5.977	eV/atom
# crystal system	trigonal
# formation energy without anion corrections	-4.684	eV per formula unit

Record 6
# NbCo2BrCl PBE optimized geometry
data_NbCo2BrCl
_chemical_formula_sum 'Nb1 Co2 Br1 Cl1'
_symmetry_space_group_name_H-M 'P 4/m m m'
_symmetry_Int_Tables_number 123
_symmetry_space_group_name_Hall '-P 4 2'
_cell_length_a 4.012
_cell_length_b 4.012
_cell_length_c 5.917
_cell_angle_alpha 90.00
_cell_angle_beta 90.00
_cell_angle_gamma 90.00
loop_
_atom_site_label
_atom_site_type_symbol
_atom_site_fract_x
_atom_site_fract_y
_atom_site_fract_z
_atom_site_occupancy
Nb1 Nb 0.000 0.000 0.000 1
Co1 Co 0.000 0.500 0.500 1
Br1 Br 0.500 0.500 0.000 1
Cl1 Cl 0.500 0.500 0.500 1
# uncorrected energy	-4.475	eV/atom
# crystal system	tetragonal
# formation energy without anion corrections	5.426	eV per formula unit